*1*
A geometry-optimized SrAg2F structure, computed with PBE.

DOS(E_F), states/eV/cell: 5.0
Size of the total moment, μB/f.u.: 0.0

Lattice parameters (Å, degrees): 3.7822 3.7822 24.8198 90.00 90.00 90.00
Space group I-42d (No. 122)
Asymmetric unit:
1 Sr 0.0000 0.0000 0.0000
2 Ag 0.2494 0.2500 0.6250
3 F 0.0000 0.0000 0.5000

*2*
A geometry-optimized SrAg2F structure, computed with PBE.

DOS(E_F), states/eV/cell: 19.8
Size of the total moment, μB/f.u.: 0.0

Lattice parameters (Å, degrees): 7.2516 7.2516 7.2516 90.00 90.00 90.00
Space group Fm-3m (No. 225)
Asymmetric unit:
1 Sr 0.0000 0.0000 0.0000
2 Ag 0.2500 0.2500 0.2500
3 F 0.0000 0.0000 0.5000

Quick one: least stable of them? *2*